This record from Alexandria via LeMat-Bulk describes Na2Mn2GaO6 after structural relaxation. The functional is PBE+U.

Values from the calculation:
Space-group type   C2/m (12)
Density   4.3 g cm⁻³
Fermi-level density of states   0.0625 states/eV per atom
Uncorrected energy   -6.121 eV/atom

a = 5.0846 Å, b = 5.0846 Å, c = 5.7613 Å
α = 98.31°, β = 98.31°, γ = 119.82°
Sites, in units of the cell vectors:
Na (0.1682, 0.8318, 0.0000)
Na (0.8318, 0.1682, 0.0000)
Mn (0.3391, 0.6609, 0.5000)
Mn (0.6609, 0.3391, 0.5000)
Ga (0.0000, 0.0000, 0.5000)
O (0.0585, 0.4018, 0.6854)
O (0.2694, 0.2694, 0.3067)
O (0.4018, 0.0585, 0.6854)
O (0.5982, 0.9415, 0.3146)
O (0.7306, 0.7306, 0.6933)
O (0.9415, 0.5982, 0.3146)

=====

This record from Alexandria via LeMat-Bulk describes LiCrPb2O6 after structural relaxation. The functional is PBE+U.

Values from the calculation:
Space-group type   P4mm (99)
Density   6.9 g cm⁻³
Fermi-level density of states   0.3181 states/eV per atom
Uncorrected energy   -5.789 eV/atom

a = 5.2930 Å, b = 5.2930 Å, c = 4.9072 Å
α = 90.00°, β = 90.00°, γ = 90.00°
Sites, in units of the cell vectors:
Li (0.0000, 0.0000, 0.0000)
Cr (0.5000, 0.5000, 0.0313)
Pb (0.0000, 0.5000, 0.4464)
Pb (0.5000, 0.0000, 0.4464)
O (0.0000, 0.0000, 0.5980)
O (0.2706, 0.2706, 0.1435)
O (0.2706, 0.7294, 0.1435)
O (0.5000, 0.5000, 0.6916)
O (0.7294, 0.2706, 0.1435)
O (0.7294, 0.7294, 0.1435)